Entry 1:
The following is a PBE calculation of crystalline Cs2PrHgF6 at its relaxed geometry, from the Open Quantum Materials Database.

a = 6.6343 Å, b = 6.6343 Å, c = 6.6343 Å
α = 60.00°, β = 60.00°, γ = 60.00°
Positions (direct):
Cs 0.2500 0.2500 0.2500
Cs 0.7500 0.7500 0.7500
Pr 0.0000 0.0000 0.0000
Hg 0.5000 0.5000 0.5000
F 0.2393 0.2393 0.7607
F 0.2393 0.7607 0.2393
F 0.2393 0.7607 0.7607
F 0.7607 0.2393 0.2393
F 0.7607 0.2393 0.7607
F 0.7607 0.7607 0.2393

## Properties
**Total energy**: -4.5669 eV/atom

***

Entry 2:
The following is a PBE calculation of crystalline Cs2RbHgF6 at its relaxed geometry, from the Open Quantum Materials Database.

a = 6.5285 Å, b = 6.5285 Å, c = 6.5285 Å
α = 120.23°, β = 120.23°, γ = 89.60°
Positions (direct):
Cs 0.2500 0.7500 0.5000
Cs 0.7500 0.2500 0.5000
Rb 0.0000 0.0000 0.0000
Hg 0.5000 0.5000 0.0000
F 0.2591 0.7260 0.9851
F 0.2656 0.2656 0.0000
F 0.2740 0.2591 0.5331
F 0.7260 0.7409 0.4669
F 0.7344 0.7344 0.0000
F 0.7409 0.2740 0.0149

## Properties
**Excess energy over the best structure of this formula in the dataset**: 34 kJ/mol of formula units

***

Entry 3:
The following is a PBE calculation of crystalline CsRbHgF4 at its relaxed geometry, from the Open Quantum Materials Database.

a = 4.4997 Å, b = 4.4997 Å, c = 13.8093 Å
α = 90.00°, β = 90.00°, γ = 90.00°
Positions (direct):
Cs 0.0000 0.0000 0.0000
Cs 0.5000 0.5000 0.5000
Rb 0.0000 0.0000 0.2873
Rb 0.5000 0.5000 0.7873
Hg 0.0000 0.0000 0.6423
Hg 0.5000 0.5000 0.1423
F 0.0000 0.0000 0.4775
F 0.0000 0.0000 0.8065
F 0.0000 0.5000 0.1536
F 0.0000 0.5000 0.6536
F 0.5000 0.0000 0.1536
F 0.5000 0.0000 0.6536
F 0.5000 0.5000 0.3065
F 0.5000 0.5000 0.9775

## Properties
**Total energy**: -3.5297 eV/atom

***

Entry 4:
The following is a PBE calculation of crystalline Cs2RbHgF6 at its relaxed geometry, from the Open Quantum Materials Database.

a = 6.6273 Å, b = 6.6273 Å, c = 6.6273 Å
α = 60.00°, β = 60.00°, γ = 60.00°
Positions (direct):
Cs 0.2500 0.2500 0.2500
Cs 0.7500 0.7500 0.7500
Rb 0.0000 0.0000 0.0000
Hg 0.5000 0.5000 0.5000
F 0.2676 0.2676 0.7324
F 0.2676 0.7324 0.2676
F 0.2676 0.7324 0.7324
F 0.7324 0.2676 0.2676
F 0.7324 0.2676 0.7324
F 0.7324 0.7324 0.2676

## Properties
**Excess energy over the best structure of this formula in the dataset**: 0 kJ/mol of formula units

***

Entry 5:
The following is a PBE calculation of crystalline Cs2HoInF6 at its relaxed geometry, from the Open Quantum Materials Database.

a = 6.5635 Å, b = 6.5635 Å, c = 6.5635 Å
α = 60.00°, β = 60.00°, γ = 60.00°
Positions (direct):
Cs 0.2500 0.2500 0.2500
Cs 0.7500 0.7500 0.7500
Ho 0.0000 0.0000 0.0000
In 0.5000 0.5000 0.5000
F 0.2299 0.2299 0.7701
F 0.2299 0.7701 0.2299
F 0.2299 0.7701 0.7701
F 0.7701 0.2299 0.2299
F 0.7701 0.2299 0.7701
F 0.7701 0.7701 0.2299

## Properties
**Total energy**: -5.0818 eV/atom

***

Entry 6:
The following is a PBE calculation of crystalline Cs3HoSi4O10F2 at its relaxed geometry, from the Open Quantum Materials Database.

a = 7.0165 Å, b = 7.0505 Å, c = 16.0471 Å
α = 95.85°, β = 90.08°, γ = 119.77°
Positions (direct):
Cs 0.1254 0.2644 0.1806
Cs 0.1546 0.3157 0.4490
Cs 0.1855 0.3567 0.9193
Cs 0.8145 0.6433 0.0807
Cs 0.8454 0.6843 0.5510
Cs 0.8746 0.7356 0.8194
Ho 0.5000 0.0000 0.0000
Ho 0.5000 0.0000 0.5000
Si 0.0784 0.7974 0.3242
Si 0.2873 0.6677 0.6740
Si 0.3824 0.2990 0.6655
Si 0.4471 0.9004 0.2117
Si 0.5529 0.0996 0.7883
Si 0.6176 0.7010 0.3345
Si 0.7127 0.3323 0.3260
Si 0.9216 0.2026 0.6758
O 0.0349 0.4741 0.6917
O 0.1233 0.1474 0.6883
O 0.2063 0.8980 0.4134
O 0.2194 0.8957 0.2416
O 0.2957 0.7472 0.5844
O 0.3455 0.8544 0.7548
O 0.4271 0.2422 0.5720
O 0.4392 0.8343 0.1142
O 0.4480 0.5610 0.6848
O 0.4649 0.7188 0.2626
O 0.5351 0.2812 0.7374
O 0.5520 0.4390 0.3152
O 0.5608 0.1657 0.8858
O 0.5729 0.7578 0.4280
O 0.6545 0.1456 0.2452
O 0.7043 0.2528 0.4156
O 0.7806 0.1043 0.7584
O 0.7937 0.1020 0.5866
O 0.8767 0.8526 0.3117
O 0.9651 0.5259 0.3083
F 0.1582 0.7627 0.9560
F 0.3933 0.2289 0.0529
F 0.6067 0.7711 0.9471
F 0.8418 0.2373 0.0440

## Properties
**Total energy**: -6.9877 eV/atom

***

Entry 7:
The following is a PBE calculation of crystalline CsRb2HoF6 at its relaxed geometry, from the Open Quantum Materials Database.

a = 6.7833 Å, b = 6.7833 Å, c = 6.7833 Å
α = 60.00°, β = 60.00°, γ = 60.00°
Positions (direct):
Cs 0.0000 0.0000 0.0000
Rb 0.2500 0.2500 0.2500
Rb 0.7500 0.7500 0.7500
Ho 0.5000 0.5000 0.5000
F 0.2778 0.2778 0.7222
F 0.2778 0.7222 0.2778
F 0.2778 0.7222 0.7222
F 0.7222 0.2778 0.2778
F 0.7222 0.2778 0.7222
F 0.7222 0.7222 0.2778

## Properties
**Total energy**: -5.0882 eV/atom

***

Entry 8:
The following is a PBE calculation of crystalline Cs2HoTlF6 at its relaxed geometry, from the Open Quantum Materials Database.

a = 6.6093 Å, b = 6.6093 Å, c = 6.6093 Å
α = 121.62°, β = 121.62°, γ = 87.22°
Positions (direct):
Cs 0.2500 0.7500 0.5000
Cs 0.7500 0.2500 0.5000
Ho 0.0000 0.0000 0.0000
Tl 0.5000 0.5000 0.0000
F 0.1547 0.7070 0.8617
F 0.2251 0.2251 0.0000
F 0.2930 0.1547 0.4477
F 0.7070 0.8453 0.5523
F 0.7749 0.7749 0.0000
F 0.8453 0.2930 0.1383

## Properties
**Total energy**: -5.0810 eV/atom

***

Entry 9:
The following is a PBE calculation of crystalline Cs2PdI2F2 at its relaxed geometry, from the Open Quantum Materials Database.

a = 4.2563 Å, b = 7.2710 Å, c = 7.2223 Å
α = 90.00°, β = 90.00°, γ = 90.00°
Positions (direct):
Cs 0.0000 0.0000 0.0000
Cs 0.0000 0.5000 0.2720
Pd 0.5000 0.5000 0.8642
I 0.5000 0.2476 0.6199
I 0.5000 0.7524 0.6199
F 0.5000 0.2945 0.0717
F 0.5000 0.7055 0.0717

## Properties
**Excess energy over the best structure of this formula in the dataset**: 0 kJ/mol of formula units

***

Entry 10:
The following is a PBE calculation of crystalline Cs2PdI2F2 at its relaxed geometry, from the Open Quantum Materials Database.

a = 8.6332 Å, b = 11.8890 Å, c = 4.2818 Å
α = 90.00°, β = 90.00°, γ = 90.00°
Positions (direct):
Cs 0.2500 0.2500 0.0000
Cs 0.2500 0.7500 0.0000
Cs 0.7500 0.2500 0.0000
Cs 0.7500 0.7500 0.0000
Pd 0.0000 0.0000 0.5000
Pd 0.5000 0.5000 0.5000
I 0.1966 0.5000 0.5000
I 0.3034 0.0000 0.5000
I 0.6966 0.0000 0.5000
I 0.8034 0.5000 0.5000
F 0.0000 0.1711 0.5000
F 0.0000 0.8289 0.5000
F 0.5000 0.3289 0.5000
F 0.5000 0.6711 0.5000

## Properties
**Excess energy over the best structure of this formula in the dataset**: 13 kJ/mol of formula units

***

Entry 11:
The following is a PBE calculation of crystalline Cs2PdIF3 at its relaxed geometry, from the Open Quantum Materials Database.

a = 4.0578 Å, b = 10.3072 Å, c = 8.1843 Å
α = 90.00°, β = 90.00°, γ = 90.00°
Positions (direct):
Cs 0.0000 0.2008 0.0000
Cs 0.0000 0.2992 0.5000
Cs 0.0000 0.7008 0.5000
Cs 0.0000 0.7992 0.0000
Pd 0.5000 0.0000 0.7020
Pd 0.5000 0.5000 0.2020
I 0.5000 0.0000 0.3869
I 0.5000 0.5000 0.8869
F 0.5000 0.0000 0.9555
F 0.5000 0.1929 0.7148
F 0.5000 0.3071 0.2148
F 0.5000 0.5000 0.4555
F 0.5000 0.6929 0.2148
F 0.5000 0.8071 0.7148

## Properties
**Total energy**: -3.8369 eV/atom

***

Entry 12:
The following is a PBE calculation of crystalline Cs2PdI3F at its relaxed geometry, from the Open Quantum Materials Database.

a = 4.6426 Å, b = 9.8276 Å, c = 12.1307 Å
α = 90.00°, β = 90.00°, γ = 90.00°
Positions (direct):
Cs 0.0000 0.1979 0.0000
Cs 0.0000 0.3021 0.5000
Cs 0.0000 0.6979 0.5000
Cs 0.0000 0.8021 0.0000
Pd 0.5000 0.0000 0.7588
Pd 0.5000 0.5000 0.2588
I 0.5000 0.0000 0.5463
I 0.5000 0.2304 0.2583
I 0.5000 0.2696 0.7583
I 0.5000 0.5000 0.0463
I 0.5000 0.7304 0.7583
I 0.5000 0.7696 0.2583
F 0.5000 0.0000 0.9334
F 0.5000 0.5000 0.4334

## Properties
**Total energy**: -3.1758 eV/atom